1.
A plane-wave DFT calculation with SCAN was carried out for CoIr4Pt at its PBEsol-relaxed geometry.

Properties
The total magnetization is 5.4 μB per cell. Its space group is No. 216. The total energy is -61.298 eV per atom.

Cell: 5.0619 5.0619 5.0619 Å, 60.00 60.00 60.00°
Last column: nearest neighbours and their distance in Å.
Element x y z (fractional)
Co (0.0000, 0.0000, 0.0000)  12 Ir 2.97, 4 Pt 3.10
Ir (0.3749, 0.3749, 0.3749)  6 Ir 2.53
Ir (0.3749, 0.3749, 0.8752)  6 Ir 2.53
Ir (0.8752, 0.3749, 0.3749)  6 Ir 2.53
Ir (0.3749, 0.8752, 0.3749)  6 Ir 2.53
Pt (0.7500, 0.7500, 0.7500)  12 Ir 2.97, 4 Co 3.10

=====

2.
A plane-wave DFT calculation with SCAN was carried out for SrLaHg at its PBEsol-relaxed geometry.

Properties
The total magnetization is 0.2 μB per cell. Its space group is No. 107. The total energy is -44.963 eV per atom.

Cell: 3.8400 3.8400 7.4625 Å, 104.91 104.91 90.00°
Last column: nearest neighbours and their distance in Å.
Element x y z (fractional)
Sr (0.6400, 0.6400, 0.2800)  4 Hg 3.39
Hg (0.9935, 0.9935, 0.9870)  4 La 3.24, 4 Sr 3.39
La (0.3665, 0.3665, 0.7329)  4 Hg 3.24

=====

Number 1: energy of formation 66.02 kJ/mol of atoms, D(E_F) 1.19 states/eV per atom. Number 2: energy of formation -43.18 kJ/mol of atoms, D(E_F) 0.78 states/eV per atom.